The following is a GGA-PBE calculation of crystalline Pu2GaSi3Ni4 at its relaxed geometry, from Alexandria.

Output
- Final energy: -7.700 eV/atom
- SG: P-4m2, No. 115

Cell lengths 4.0069, 4.0069, 9.6079 Å; angles 90.00, 90.00, 90.00 degrees
Closest atoms and distances in Å follow each position.
Fractional coordinates of all 10 atoms:
Si (0.0000, 0.5000, 0.1262)  5 Ni 2.30-2.34
Si (0.0000, 0.0000, 0.5000)  4 Ni 2.38
Si (0.5000, 0.0000, 0.8738)  5 Ni 2.30-2.34
Ni (0.5000, 0.0000, 0.6347)  3 Si 2.30-2.38, 2 Ga 2.38
Ni (0.0000, 0.0000, 0.0000)  4 Si 2.34
Ni (0.5000, 0.5000, 0.0000)  4 Si 2.34
Ni (0.0000, 0.5000, 0.3653)  3 Si 2.30-2.38, 2 Ga 2.38
Pu (0.5000, 0.0000, 0.2467)  8 Ni 3.05-3.10, 6 Si 3.06-3.15, 2 Ga 3.15
Pu (0.0000, 0.5000, 0.7533)  8 Ni 3.05-3.10, 6 Si 3.06-3.15, 2 Ga 3.15
Ga (0.5000, 0.5000, 0.5000)  4 Ni 2.38

The following is a GGA-PBE calculation of crystalline Pu2GaSiNi6 at its relaxed geometry, from Alexandria.

Output
- Final energy: -7.390 eV/atom
- SG: R-3m, No. 166

Cell lengths 5.8534, 5.8534, 11.1620 Å; angles 74.80, 74.80, 60.00 degrees
Closest atoms and distances in Å follow each position.
Fractional coordinates of all 20 atoms:
Si (0.0000, 0.0000, 0.0000)  6 Ni 2.18
Si (0.5000, 0.5000, 0.5000)  6 Ni 2.23, 2 Ga 2.48
Ni (0.3664, 0.7757, 0.0822)  1 Si 2.18, 2 Ni 2.40, 1 Ga 2.40
Ni (0.6336, 0.2243, 0.9178)  1 Si 2.18, 2 Ni 2.40, 1 Ga 2.40
Ni (0.2243, 0.6336, 0.9178)  1 Si 2.18, 2 Ni 2.40, 1 Ga 2.40
Ni (0.2243, 0.2243, 0.9178)  1 Si 2.18, 2 Ni 2.40, 1 Ga 2.40
Ni (0.9280, 0.3299, 0.4122)  1 Si 2.23, 2 Ni 2.35
Ni (0.6701, 0.6701, 0.5878)  1 Si 2.23, 2 Ni 2.35
Ni (0.3299, 0.3299, 0.4122)  1 Si 2.23, 2 Ni 2.35
Ni (0.3299, 0.9280, 0.4122)  1 Si 2.23, 2 Ni 2.35
Ni (0.6701, 0.0720, 0.5878)  1 Si 2.23, 2 Ni 2.35
Ni (0.7757, 0.7757, 0.0822)  1 Si 2.18, 2 Ni 2.40, 1 Ga 2.40
Ni (0.0720, 0.6701, 0.5878)  1 Si 2.23, 2 Ni 2.35
Ni (0.7757, 0.3664, 0.0822)  1 Si 2.18, 2 Ni 2.40, 1 Ga 2.40
Pu (0.2791, 0.2791, 0.1627)  12 Ni 2.95-3.06
Pu (0.7209, 0.7209, 0.8373)  12 Ni 2.95-3.06
Pu (0.1098, 0.1098, 0.6706)  12 Ni 3.07-3.30
Pu (0.8902, 0.8902, 0.3294)  12 Ni 3.07-3.30
Ga (0.4223, 0.4223, 0.7331)  6 Ni 2.40-2.54, 1 Si 2.48
Ga (0.5777, 0.5777, 0.2669)  6 Ni 2.40-2.54, 1 Si 2.48

The following is a GGA-PBE calculation of crystalline PuGaNiSn at its relaxed geometry, from Alexandria.

Output
- Final energy: -6.992 eV/atom
- SG: F-43m, No. 216
- Energy relative to the elements: -19.9 kJ/mol of atoms

Cell lengths 4.7751, 4.7751, 4.7751 Å; angles 60.00, 60.00, 60.00 degrees
Closest atoms and distances in Å follow each position.
Fractional coordinates of all 4 atoms:
Sn (0.5000, 0.5000, 0.5000)  4 Ga 2.92, 4 Ni 2.92
Ga (0.7500, 0.7500, 0.7500)  4 Sn 2.92, 4 Pu 2.92
Pu (0.0000, 0.0000, 0.0000)  4 Ni 2.92, 4 Ga 2.92
Ni (0.2500, 0.2500, 0.2500)  4 Sn 2.92, 4 Pu 2.92

The following is a GGA-PBE calculation of crystalline Pu2Ga3Ni4Sn at its relaxed geometry, from Alexandria.

Output
- Final energy: -6.839 eV/atom
- SG: P-4m2, No. 115
- Energy relative to the elements: -33.9 kJ/mol of atoms

Cell lengths 4.2208, 4.2208, 9.7872 Å; angles 90.00, 90.00, 90.00 degrees
Closest atoms and distances in Å follow each position.
Fractional coordinates of all 10 atoms:
Pu (0.0000, 0.5000, 0.7654)  8 Ni 3.12-3.22, 7 Ga 3.19-3.45, 2 Sn 3.35
Pu (0.5000, 0.0000, 0.2346)  8 Ni 3.12-3.22, 7 Ga 3.19-3.45, 2 Sn 3.35
Ni (0.5000, 0.5000, 0.0000)  4 Ga 2.41
Ni (0.5000, 0.0000, 0.6418)  3 Ga 2.35-2.53, 2 Sn 2.53
Ni (0.0000, 0.5000, 0.3582)  3 Ga 2.35-2.53, 2 Sn 2.53
Ni (0.0000, 0.0000, 0.0000)  4 Ga 2.41
Ga (0.0000, 0.0000, 0.5000)  4 Ni 2.53
Ga (0.5000, 0.0000, 0.8817)  5 Ni 2.35-2.41
Ga (0.0000, 0.5000, 0.1183)  5 Ni 2.35-2.41
Sn (0.5000, 0.5000, 0.5000)  4 Ni 2.53

The following is a GGA-PBE calculation of crystalline Tb2PuGa3Ni4 at its relaxed geometry, from Alexandria.

Output
- Final energy: -6.021 eV/atom
- SG: P-4m2, No. 115
- Energy relative to the elements: -42.5 kJ/mol of atoms

Cell lengths 4.2150, 4.2150, 10.0584 Å; angles 90.00, 90.00, 90.00 degrees
Closest atoms and distances in Å follow each position.
Fractional coordinates of all 10 atoms:
Tb (0.5000, 0.0000, 0.2243)  8 Ni 3.09-3.24, 5 Ga 3.17-3.42
Tb (0.0000, 0.5000, 0.7757)  8 Ni 3.09-3.24, 5 Ga 3.17-3.42
Ni (0.0000, 0.0000, 0.0000)  4 Ga 2.41
Ni (0.5000, 0.5000, 0.0000)  4 Ga 2.41
Ni (0.0000, 0.5000, 0.3495)  3 Ga 2.35-2.59, 2 Pu 2.59
Ni (0.5000, 0.0000, 0.6505)  3 Ga 2.35-2.59, 2 Pu 2.59
Ga (0.5000, 0.0000, 0.8841)  5 Ni 2.35-2.41
Ga (0.0000, 0.0000, 0.5000)  4 Ni 2.59
Ga (0.0000, 0.5000, 0.1159)  5 Ni 2.35-2.41
Pu (0.5000, 0.5000, 0.5000)  4 Ni 2.59

The following is a GGA-PBE calculation of crystalline TbPuGaNi at its relaxed geometry, from Alexandria.

Output
- Final energy: -7.172 eV/atom
- SG: F-43m, No. 216
- Energy relative to the elements: -22.1 kJ/mol of atoms

Cell lengths 4.9429, 4.9429, 4.9429 Å; angles 60.00, 60.00, 60.00 degrees
Closest atoms and distances in Å follow each position.
Fractional coordinates of all 4 atoms:
Ni (0.2500, 0.2500, 0.2500)  4 Tb 3.03, 4 Pu 3.03
Tb (0.0000, 0.0000, 0.0000)  4 Ga 3.03, 4 Ni 3.03
Ga (0.7500, 0.7500, 0.7500)  4 Tb 3.03, 4 Pu 3.03
Pu (0.5000, 0.5000, 0.5000)  4 Ni 3.03, 4 Ga 3.03

The following is a GGA-PBE calculation of crystalline PuGaTcNi at its relaxed geometry, from Alexandria.

Output
- Final energy: -8.505 eV/atom
- SG: F-43m, No. 216
- Energy relative to the elements: -12.4 kJ/mol of atoms

Cell lengths 4.5041, 4.5041, 4.5041 Å; angles 60.00, 60.00, 60.00 degrees
Closest atoms and distances in Å follow each position.
Fractional coordinates of all 4 atoms:
Pu (0.7500, 0.7500, 0.7500)  4 Tc 2.76, 4 Ni 2.76
Tc (0.5000, 0.5000, 0.5000)  4 Pu 2.76, 4 Ga 2.76
Ni (0.0000, 0.0000, 0.0000)  4 Pu 2.76, 4 Ga 2.76
Ga (0.2500, 0.2500, 0.2500)  4 Tc 2.76, 4 Ni 2.76

The following is a GGA-PBE calculation of crystalline TmPuGaNi at its relaxed geometry, from Alexandria.

Output
- Final energy: -7.161 eV/atom
- SG: F-43m, No. 216
- Energy relative to the elements: -24.9 kJ/mol of atoms

Cell lengths 4.8954, 4.8954, 4.8954 Å; angles 60.00, 60.00, 60.00 degrees
Closest atoms and distances in Å follow each position.
Fractional coordinates of all 4 atoms:
Tm (0.2500, 0.2500, 0.2500)  4 Ga 3.00, 4 Ni 3.00
Pu (0.7500, 0.7500, 0.7500)  4 Ga 3.00, 4 Ni 3.00
Ni (0.0000, 0.0000, 0.0000)  4 Tm 3.00, 4 Pu 3.00
Ga (0.5000, 0.5000, 0.5000)  4 Pu 3.00, 4 Tm 3.00